# 1
ScSb3N after structural relaxation. Source: Alexandria, functional PBE.

abc: 4.7316 4.7316 4.7316
angles: 90.00 90.00 90.00
Last column: nearest neighbours and their distance in Å.
Space group Pm-3m (No. 221)
Inequivalent atoms, fractional coordinates:
Sc1 0.0000 0.0000 0.0000 [1 per cell]  12 Sb 3.35
Sb1 0.0000 0.5000 0.5000 [3 per cell]  2 N 2.37
N1 0.5000 0.5000 0.5000 [1 per cell]  6 Sb 2.37

Properties
* spin magnetization: 0.000 μB per formula unit
* formation energy from raw total energies: 0.18 eV per atom


# 2
RbTlAgCl3 after structural relaxation. Source: Alexandria, functional PBE.

abc: 9.5192 4.4665 9.8251
angles: 90.00 95.01 90.00
Last column: nearest neighbours and their distance in Å.
Space group P2_1/m (No. 11)
Inequivalent atoms, fractional coordinates:
Rb1 0.1328 0.2500 0.1816 [2 per cell]  6 Cl 3.26-3.40
Tl1 0.3415 0.7500 0.8169 [2 per cell]  5 Cl 3.11-3.42
Ag1 0.4165 0.7500 0.4052 [2 per cell]  4 Cl 2.57-2.70
Cl1 0.1193 0.2500 0.8485 [2 per cell]  2 Tl 3.11, 3 Rb 3.26-3.27
Cl2 0.3096 0.2500 0.4970 [2 per cell]  3 Ag 2.64-2.70
Cl3 0.3858 0.7500 0.1431 [2 per cell]  1 Ag 2.57

Properties
* spin magnetization: 0.000 μB per formula unit
* formation energy from raw total energies: -1.12 eV per atom


# 3
V2IrN2 after structural relaxation. Source: Alexandria, functional PBE.

abc: 3.9651 3.9651 7.7075
angles: 90.00 90.00 90.00
Last column: nearest neighbours and their distance in Å.
Space group I4/mmm (No. 139)
Inequivalent atoms, fractional coordinates:
V1 0.0000 0.5000 0.2500 [4 per cell]  4 N 1.98
Ir1 0.0000 0.0000 0.0000 [2 per cell]  2 N 2.02
N1 0.0000 0.0000 0.2620 [4 per cell]  4 V 1.98, 1 Ir 2.02

Properties
* spin magnetization: 0.000 μB per formula unit
* formation energy from raw total energies: -0.49 eV per atom


# 4
PuMg2H7 after structural relaxation. Source: Alexandria, functional PBE.

abc: 6.2966 9.2599 3.4687
angles: 90.00 90.00 90.00
Last column: nearest neighbours and their distance in Å.
Space group Cmmm (No. 65)
Inequivalent atoms, fractional coordinates:
Pu1 0.0000 0.0000 0.0000 [2 per cell]  10 H 2.24-2.33
Mg1 0.0000 0.3062 0.5000 [4 per cell]  3 H 1.79-1.83
H1 0.0000 0.2418 0.0000 [4 per cell]  2 Mg 1.83
H2 0.0000 0.5000 0.5000 [2 per cell]  2 Mg 1.79
H3 0.1727 0.1191 0.5000 [8 per cell]  2 Mg 2.05-2.17, 2 H 2.17-2.20

Properties
* spin magnetization: 5.000 μB per formula unit


# 5
YPtSe2 after structural relaxation. Source: Alexandria, functional PBE.

abc: 5.1497 5.1497 15.3629
angles: 90.00 90.00 90.00
Last column: nearest neighbours and their distance in Å.
Space group I-42d (No. 122)
Inequivalent atoms, fractional coordinates:
Y1 0.0000 0.0000 0.0000 [4 per cell]  4 Se 2.76
Pt1 0.0000 0.0000 0.5000 [4 per cell]  4 Se 2.55
Se1 0.2079 0.2500 0.6250 [8 per cell]  2 Pt 2.55, 2 Y 2.76

Properties
* spin magnetization: 0.000 μB per formula unit
* formation energy from raw total energies: -0.83 eV per atom


# 6
LiCu2H after structural relaxation. Source: Alexandria, functional PBE.

abc: 5.4957 5.4957 5.4957
angles: 90.00 90.00 90.00
Last column: nearest neighbours and their distance in Å.
Space group Fm-3m (No. 225)
Inequivalent atoms, fractional coordinates:
Li1 0.0000 0.0000 0.0000 [4 per cell]  8 Cu 2.38
Cu1 0.2500 0.2500 0.2500 [8 per cell]  4 H 2.38, 4 Li 2.38
H1 0.0000 0.0000 0.5000 [4 per cell]  8 Cu 2.38

Properties
* spin magnetization: 0.000 μB per formula unit


# 7
Na3LiPb4 after structural relaxation. Source: Alexandria, functional PBE.

abc: 3.5041 10.4310 12.6562
angles: 90.00 90.00 90.00
Last column: nearest neighbours and their distance in Å.
Space group Immm (No. 71)
Inequivalent atoms, fractional coordinates:
Na1 0.0000 0.0000 0.0000 [2 per cell]  6 Na 3.50-3.86, 8 Pb 3.58
Na2 0.0000 0.5000 0.2282 [4 per cell]  6 Pb 3.21-3.34, 2 Li 3.38, 2 Na 3.50
Li1 0.0000 0.0000 0.5000 [2 per cell]  4 Pb 3.04, 4 Na 3.38
Pb1 0.0000 0.2451 0.3705 [8 per cell]  1 Li 3.04, 3 Na 3.21-3.34, 1 Pb 3.28

Properties
* E_form: -0.084 eV/atom
* spin magnetization: 0.000 μB per formula unit


# 8
SrMo3H after structural relaxation. Source: Alexandria, functional PBE.

abc: 4.8094 4.8094 4.8094
angles: 90.00 90.00 90.00
Last column: nearest neighbours and their distance in Å.
Space group Pm-3m (No. 221)
Inequivalent atoms, fractional coordinates:
Sr1 0.0000 0.0000 0.0000 [1 per cell]  6 Mo 2.40
Mo1 0.0000 0.0000 0.5000 [3 per cell]  2 Sr 2.40
H1 0.5000 0.5000 0.5000 [1 per cell]  12 Mo 3.40

Properties
* spin magnetization: 0.000 μB per formula unit


# 9
KRbTi2Br8 after structural relaxation. Source: Alexandria, functional PBE.

abc: 7.2185 7.2185 11.1043
angles: 90.00 90.00 120.00
Last column: nearest neighbours and their distance in Å.
Space group P-3 (No. 147)
Inequivalent atoms, fractional coordinates:
K1 0.0000 0.0000 0.0000 [1 per cell]  6 Br 3.34
Rb1 0.0000 0.0000 0.5000 [1 per cell]  12 Br 4.02-4.17
Ti1 0.3333 0.6667 0.2748 [2 per cell]  4 Br 2.42-2.44
Br1 0.0161 0.3396 0.2097 [6 per cell]  1 Ti 2.44
Br2 0.3333 0.6667 0.4925 [2 per cell]  1 Ti 2.42

Properties
* spin magnetization: 2.000 μB per formula unit
* formation energy from raw total energies: -1.32 eV per atom


# 10
PmInAu after structural relaxation. Source: Alexandria, functional PBE.

abc: 4.8578 4.8578 3.6129
angles: 90.00 90.00 120.00
Last column: nearest neighbours and their distance in Å.
Space group P-6m2 (No. 187)
Inequivalent atoms, fractional coordinates:
Pm1 0.0000 0.0000 0.0000 [1 per cell]  6 In 3.34, 6 Au 3.34, 2 Pm 3.61
In1 0.6667 0.3333 0.5000 [1 per cell]  3 Au 2.80
Au1 0.3333 0.6667 0.5000 [1 per cell]  3 In 2.80

Properties
* E_form: -0.671 eV/atom
* spin magnetization: 0.000 μB per formula unit


# 11
YInCl2 after structural relaxation. Source: Alexandria, functional PBE.

abc: 11.8693 3.5992 6.2084
angles: 90.00 116.59 90.00
Last column: nearest neighbours and their distance in Å.
Space group Cm (No. 8)
Inequivalent atoms, fractional coordinates:
Y1 0.0000 0.0000 0.0000 [2 per cell]  4 Cl 2.68
In1 0.2310 0.5000 0.4714 [2 per cell]  1 Cl 3.18, 3 Y 3.40-3.48
Cl1 0.0654 0.5000 0.7569 [2 per cell]  2 Y 2.68
Cl2 0.3671 0.0000 0.1103 [2 per cell]  2 Y 2.68

Properties
* spin magnetization: 0.043 μB per formula unit
* formation energy from raw total energies: -1.26 eV per atom


# 12
YZr2Re after structural relaxation. Source: Alexandria, functional PBE.

abc: 3.2626 3.2626 29.2961
angles: 90.00 90.00 120.00
Last column: nearest neighbours and their distance in Å.
Space group R3m (No. 160, hexagonal axes)
Inequivalent atoms, fractional coordinates:
Y1 0.0000 0.0000 0.0000 [3 per cell]  3 Re 2.93, 6 Y 3.26
Zr1 0.0000 0.0000 0.2337 [3 per cell]  9 Zr 3.22-3.26, 3 Y 3.47
Zr2 0.0000 0.0000 0.4779 [3 per cell]  3 Re 2.74
Re1 0.0000 0.0000 0.7435 [3 per cell]  3 Zr 2.74, 3 Y 2.93

Properties
* E_form: 0.237 eV/atom
* spin magnetization: 0.000 μB per formula unit


# 13
Ac2Pm2Sm3 after structural relaxation. Source: Alexandria, functional PBE.

abc: 5.8669 3.6114 12.5803
angles: 90.00 103.42 90.00
Last column: nearest neighbours and their distance in Å.
Space group P2/m (No. 10)
Inequivalent atoms, fractional coordinates:
Ac1 0.0775 0.0000 0.1554 [2 per cell]  3 Sm 3.47-3.50, 3 Ac 3.61-3.80, 4 Pm 3.85
Pm1 0.3527 0.5000 0.7042 [2 per cell]  2 Pm 3.61, 6 Sm 3.72-3.87, 4 Ac 3.85
Sm1 0.2191 0.0000 0.4386 [2 per cell]  4 Sm 3.29-3.61, 1 Ac 3.47
Sm2 0.5000 0.0000 0.0000 [1 per cell]  4 Ac 3.50, 2 Sm 3.61

Properties
* E_form: 0.146 eV/atom
* spin magnetization: 0.000 μB per formula unit


# 14
MgIn2Se4 after structural relaxation. Source: Alexandria, functional PBE.

abc: 11.4446 11.4446 11.4446
angles: 90.00 90.00 90.00
Last column: nearest neighbours and their distance in Å.
Space group Fd-3m (No. 227, origin choice 2)
Inequivalent atoms, fractional coordinates:
Mg1 0.1250 0.1250 0.1250 [8 per cell]  4 Se 2.62
In1 0.0000 0.0000 0.5000 [16 per cell]  6 Se 2.78
Se1 0.0072 0.0072 0.7428 [32 per cell]  1 Mg 2.62, 3 In 2.78

Properties
* spin magnetization: 0.000 μB per formula unit
* formation energy from raw total energies: -0.71 eV per atom


# 15
AlTeSe2 after structural relaxation. Source: Alexandria, functional PBE.

abc: 7.0444 7.0444 7.0444
angles: 90.00 90.00 90.00
Last column: nearest neighbours and their distance in Å.
Space group Fm-3m (No. 225)
Inequivalent atoms, fractional coordinates:
Al1 0.0000 0.0000 0.0000 [4 per cell]  8 Se 3.05
Te1 0.0000 0.0000 0.5000 [4 per cell]  8 Se 3.05
Se1 0.2500 0.2500 0.2500 [8 per cell]  4 Te 3.05, 4 Al 3.05

Properties
* spin magnetization: 0.000 μB per formula unit
* formation energy from raw total energies: 0.23 eV per atom


# 16
La8Tb2Tm3 after structural relaxation. Source: Alexandria, functional PBE.

abc: 15.6720 10.6616 5.6986
angles: 90.00 107.53 90.00
Last column: nearest neighbours and their distance in Å.
Space group C2/m (No. 12)
Inequivalent atoms, fractional coordinates:
La1 0.0410 0.0000 0.2682 [4 per cell]  2 La 2.94-3.27, 1 Tb 3.05
La2 0.1603 0.2550 0.1415 [8 per cell]  5 La 3.50-3.91, 2 Tb 3.51-3.54, 3 Tm 3.54-3.77
La3 0.1655 0.5000 0.6345 [4 per cell]  4 Tm 3.44-3.78, 2 Tb 3.51-3.76, 4 La 3.79-3.82
Tb1 0.1840 0.0000 0.7690 [4 per cell]  1 La 3.05
Tm1 0.0000 0.2759 0.5000 [4 per cell]  8 La 3.36-3.77, 2 Tm 3.72
Tm2 0.0000 0.5000 0.0000 [2 per cell]  8 La 3.54-3.78, 4 Tm 3.72

Properties
* E_form: 0.171 eV/atom
* spin magnetization: 0.000 μB per formula unit


# 17
Ho2ThTl after structural relaxation. Source: Alexandria, functional PBE.

abc: 3.5706 3.5706 32.3863
angles: 90.00 90.00 120.00
Last column: nearest neighbours and their distance in Å.
Space group R-3m (No. 166, hexagonal axes)
Inequivalent atoms, fractional coordinates:
Ho1 0.0000 0.0000 0.2473 [6 per cell]  3 Tl 3.33, 3 Th 3.47, 6 Ho 3.57
Th1 0.0000 0.0000 0.0000 [3 per cell]  6 Ho 3.47, 6 Th 3.57
Tl1 0.0000 0.0000 0.5000 [3 per cell]  6 Ho 3.33, 6 Tl 3.57

Properties
* E_form: -0.139 eV/atom
* spin magnetization: 0.000 μB per formula unit


# 18
CsGa5 after structural relaxation. Source: Alexandria, functional PBE.

abc: 4.6858 4.6858 8.4572
angles: 90.00 90.00 120.00
Last column: nearest neighbours and their distance in Å.
Space group P6/mmm (No. 191)
Inequivalent atoms, fractional coordinates:
Cs1 0.0000 0.0000 0.0000 [1 per cell]  14 Ga 3.94-4.23
Ga1 0.0000 0.0000 0.5000 [1 per cell]  12 Ga 3.03
Ga2 0.3333 0.6667 0.3393 [4 per cell]  7 Ga 2.71-3.03

Properties
* E_form: -0.071 eV/atom
* spin magnetization: 0.000 μB per formula unit


# 19
LaP3Ru after structural relaxation. Source: Alexandria, functional PBE.

abc: 5.1870 5.1870 5.1870
angles: 90.00 90.00 90.00
Last column: nearest neighbours and their distance in Å.
Space group Pm-3m (No. 221)
Inequivalent atoms, fractional coordinates:
La1 0.0000 0.0000 0.0000 [1 per cell]  6 P 2.59
P1 0.0000 0.0000 0.5000 [3 per cell]  2 La 2.59
Ru1 0.5000 0.5000 0.5000 [1 per cell]  12 P 3.67

Properties
* E_form: 1.756 eV/atom
* spin magnetization: 0.000 μB per formula unit


# 20
Ta2MnAl after structural relaxation. Source: Alexandria, functional PBE.

abc: 6.3344 6.3344 6.3344
angles: 90.00 90.00 90.00
Last column: nearest neighbours and their distance in Å.
Space group F-43m (No. 216)
Inequivalent atoms, fractional coordinates:
Ta1 0.0000 0.0000 0.0000 [4 per cell]  4 Mn 2.74, 4 Ta 2.74
Ta2 0.2500 0.2500 0.2500 [4 per cell]  4 Ta 2.74, 4 Al 2.74
Mn1 0.2500 0.2500 0.7500 [4 per cell]  4 Ta 2.74, 4 Al 2.74
Al1 0.0000 0.0000 0.5000 [4 per cell]  4 Ta 2.74, 4 Mn 2.74

Properties
* E_form: 0.068 eV/atom
* spin magnetization: 2.061 μB per formula unit


no.,electronic total energy (eV per atom)
1,-5.220
2,-3.078
3,-9.239
4,-4.265
5,-5.703
6,-2.841
7,-2.672
8,-3.749
9,-3.928
10,-4.260
11,-4.486
12,-8.765
13,-4.407
14,-3.714
15,-3.233
16,-4.606
17,-4.874
18,-2.736
19,-4.330
20,-9.086